Ba2BiTePd6 | PBE-GGA | relaxed

Geometry as CIF:
```
data_Ba2BiTePd6
_cell_length_a 5.789
_cell_length_b 7.188
_cell_length_c 7.266
_cell_angle_alpha 76.88
_cell_angle_beta 66.54
_cell_angle_gamma 66.28
_symmetry_space_group_name_H-M 'P -1'
_symmetry_Int_Tables_number 2
loop_
_symmetry_equiv_pos_as_xyz
'x,y,z'
'-x,-y,-z'
loop_
_atom_site_label
_atom_site_fract_x
_atom_site_fract_y
_atom_site_fract_z
_atom_site_occupancy
Ba1 0.247 0.288 0.219 1
Bi1 0.000 0.000 0.000 1
Te1 0.500 0.500 0.500 1
Pd1 0.232 0.767 0.272 1
Pd2 0.249 0.900 0.598 1
Pd3 0.271 0.232 0.728 1
```

Calculated values
DOS(E_F) = 0.47 states/eV/atom
final energy = -4.754 eV per atom
ΔE_f (raw) = -532 kJ/mol of formula units